# 1
## PrPb2 (meta-GGA SCAN)

Data for a PBEsol-optimized structure of PrPb2.

a = 4.6971 Å, b = 4.6971 Å, c = 16.0426 Å
α = 98.42°, β = 98.42°, γ = 90.00°
Fractional positions:
Pr: 0.1760 0.6760 0.3520
Pr: 0.0740 0.0740 0.1480
Pr: 0.3240 0.8240 0.6480
Pr: 0.9260 0.9260 0.8520
Pb: 0.9997 0.4997 0.9995
Pb: 0.2503 0.2503 0.5005
Pb: 0.5003 0.0003 0.0005
Pb: 0.7497 0.7497 0.4995
Pb: 0.8385 0.3385 0.6771
Pb: 0.4115 0.4115 0.8229
Pb: 0.6615 0.1615 0.3229
Pb: 0.5885 0.5885 0.1771

Properties
DFT formation energy = -0.68 eV per atom
E = -4.825 Ry/atom
SG = I4_1/amd, No. 141
Fermi-level density of states = 0.532 states/eV per atom

***

# 2
## Rb3TmF6 (meta-GGA SCAN)

Data for a PBEsol-optimized structure of Rb3TmF6.

a = 6.6610 Å, b = 6.6610 Å, c = 6.6610 Å
α = 60.00°, β = 60.00°, γ = 60.00°
Fractional positions:
Tm: 0.0000 0.0000 0.0000
Rb: 0.7500 0.7500 0.7500
Rb: 0.2500 0.2500 0.2500
Rb: 0.5000 0.5000 0.5000
F: 0.2242 0.7758 0.2242
F: 0.2242 0.2242 0.7758
F: 0.7758 0.7758 0.2242
F: 0.2242 0.7758 0.7758
F: 0.7758 0.2242 0.7758
F: 0.7758 0.2242 0.2242

Properties
E = -1.252 Ry/atom
SG = Fm-3m, No. 225
Fermi-level density of states = 0.000 states/eV per atom

***

# 3
## LiLaOs (meta-GGA SCAN)

Data for a PBEsol-optimized structure of LiLaOs.

a = 3.1129 Å, b = 3.1129 Å, c = 7.3853 Å
α = 90.00°, β = 90.00°, γ = 120.00°
Fractional positions:
La: 0.0000 0.0000 0.0489
Li: 0.3333 0.6667 0.6061
Os: 0.6667 0.3333 0.3449

Properties
DFT formation energy = 0.60 eV per atom
E = -2.831 Ry/atom
SG = P3m1, No. 156
Fermi-level density of states = 0.699 states/eV per atom

***

The lowest E belongs to which entry? PrPb2